Computed, not measured: NiSnN2F after structural relaxation at the GGA+U level of DFT.

Cell: 4.1073 4.1073 4.0996 Å, 90.00 90.00 90.00°
Last column: nearest neighbours and their distance in Å.
Atoms (fractional coordinates):
N1 0.0000 0.5000 0.0000  2 Sn 2.05
F1 0.0000 0.0000 0.5000  2 Sn 2.05
Sn1 0.0000 0.0000 0.0000  2 F 2.05, 4 N 2.05
N2 0.5000 0.0000 0.0000  2 Sn 2.05
Ni1 0.5000 0.5000 0.5000  8 N 2.90, 4 F 2.90

Computed properties:
Size of the total moment = 1.52 μB per formula unit
Uncorrected energy = -4.2915 eV per atom
Crystal system = tetragonal
Mass density = 5.39 g cm⁻³
SG = No. 123